Crystalline TaBe4Re at its relaxed geometry, computed with GGA-PBE.

Computed properties:
Mass density: 10.50 g/cm3
Formation energy: -0.44 eV per atom
SG: F-43m (216)
DOS at the Fermi energy: 0.03 states/eV per atom

Structure (POSCAR):
```
TaBe4Re
1.0
0.000 3.171 3.171
3.171 0.000 3.171
3.171 3.171 0.000
Ta Be Re
1 4 1
Direct
0.000 0.000 0.000
0.128 0.624 0.624
0.624 0.128 0.624
0.624 0.624 0.128
0.624 0.624 0.624
0.250 0.250 0.250
```

---

Crystalline TcAgIrW2 at its relaxed geometry, computed with GGA-PBE.

Computed properties:
Mass density: 11.61 g/cm3
Formation energy: 2.07 eV per atom
SG: P4/mmm (123)
DOS at the Fermi energy: 1.05 states/eV per atom

Structure (POSCAR):
```
TcAgIrW2
1.0
4.723 0.000 0.000
0.000 4.723 0.000
0.000 0.000 4.909
Tc Ag Ir W
1 1 1 2
Direct
0.000 0.000 0.000
0.500 0.500 0.000
0.500 0.500 0.500
0.000 0.500 0.500
0.500 0.000 0.500
```

---

Crystalline Dy6Te3As2P at its relaxed geometry, computed with GGA-PBE.

Computed properties:
Mass density: 8.00 g/cm3
Energy relative to the elements, uncorrected: -1514 meV per atom
SG: C2/m (12)
DOS at the Fermi energy: 0.38 states/eV per atom

Structure (POSCAR):
```
Dy6Te3As2P
1.0
9.292 -2.085 0.000
9.292 2.085 0.000
-2.261 0.000 8.242
Dy Te As P
6 3 2 1
Direct
0.006 0.006 0.223
0.327 0.327 0.435
0.345 0.345 0.904
0.655 0.655 0.096
0.673 0.673 0.565
0.994 0.994 0.777
0.168 0.168 0.834
0.500 0.500 0.500
0.832 0.832 0.166
0.167 0.167 0.332
0.833 0.833 0.668
0.500 0.500 0.000
```